! GGA-PBE KTeAu2, relaxed; values from VASP
! Symmetry: Pmmm
! M_tot: 0.00 Bohr magnetons per cell
! Energy relative to the elements, uncorrected: -0.306 eV per atom
&SYSTEM
  ibrav = 0, nat = 4, ntyp = 3
/
ATOMIC_SPECIES
Au 196.97 Au.upf
K 39.10 K.upf
Te 127.60 Te.upf
CELL_PARAMETERS angstrom
4.810 0.000 0.000
0.000 5.033 -0.009
0.000 0.015 5.479
ATOMIC_POSITIONS crystal
Au 0.000 0.750 0.009
Au 0.000 0.750 0.491
K 0.500 0.250 0.250
Te 0.500 0.750 0.750